# 1
The following is a DFT calculation (PBE-GGA) of a relaxed Cs2In3Ga crystal.

Output
Calculated formation energy = -1.10 kcal/mol of atoms
Space group = C2/c, No. 15
Calculated volume = 436.1 Å³ per cell

a b c (Å): 9.2823 9.2823 7.5233
angles (deg): 101.62 101.62 43.57
Atoms (fractional coordinates):
Cs 0.1890 0.1915 0.0960
Cs 0.1915 0.1890 0.5960
Cs 0.8085 0.8110 0.4040
Cs 0.8110 0.8085 0.9040
In 0.2045 0.7955 0.2500
In 0.4037 0.4052 0.4532
In 0.4052 0.4037 0.9532
In 0.5948 0.5963 0.0468
In 0.5963 0.5948 0.5468
In 0.7955 0.2045 0.7500
Ga 0.2383 0.7617 0.7500
Ga 0.7617 0.2383 0.2500

=====

# 2
The following is a DFT calculation (PBE-GGA) of a relaxed LaAgAu crystal.

Output
Calculated formation energy = -13.15 kcal/mol of atoms
Polymorph energy (0 for the lowest one) = 0.000 eV/atom
Space group = Pmma, No. 51
Calculated volume = 149.8 Å³ per cell

a b c (Å): 4.8174 3.7138 8.3729
angles (deg): 90.00 90.00 90.00
Atoms (fractional coordinates):
La 0.2500 0.0000 0.2311
La 0.7500 0.0000 0.7689
Ag 0.2500 0.5000 0.5782
Ag 0.7500 0.5000 0.4218
Au 0.2500 0.5000 0.9104
Au 0.7500 0.5000 0.0896

=====

# 3
The following is a DFT calculation (PBE-GGA) of a relaxed Tm4CdGaHg2 crystal.

Output
Calculated formation energy = -10.31 kcal/mol of atoms
Space group = R-3m, No. 166
Calculated volume = 194.2 Å³ per cell

a b c (Å): 8.9270 8.9270 8.9270
angles (deg): 33.61 33.61 33.61
Atoms (fractional coordinates):
Tm 0.1205 0.1205 0.1205
Tm 0.3711 0.3711 0.3711
Tm 0.6289 0.6289 0.6289
Tm 0.8795 0.8795 0.8795
Cd 0.5000 0.5000 0.5000
Ga 0.0000 0.0000 0.0000
Hg 0.2446 0.2446 0.2446
Hg 0.7554 0.7554 0.7554

=====

# 4
The following is a DFT calculation (PBE-GGA) of a relaxed TiCuHg2 crystal.

Output
Calculated formation energy = 2.32 kcal/mol of atoms
Space group = Fm-3m, No. 225
Calculated volume = 71.3 Å³ per cell

a b c (Å): 4.6542 4.6542 4.6542
angles (deg): 60.00 60.00 60.00
Atoms (fractional coordinates):
Ti 0.0000 0.0000 0.0000
Cu 0.5000 0.5000 0.5000
Hg 0.2500 0.2500 0.2500
Hg 0.7500 0.7500 0.7500

=====

# 5
The following is a DFT calculation (PBE-GGA) of a relaxed La2Sm7Sc2 crystal.

Output
Calculated formation energy = 3.27 kcal/mol of atoms
Polymorph energy (0 for the lowest one) = 0.013 eV/atom
Space group = C2/m, No. 12
Calculated volume = 365.9 Å³ per cell

a b c (Å): 6.8652 6.8652 8.2196
angles (deg): 98.02 98.02 104.14
Atoms (fractional coordinates):
La 0.2003 0.2003 0.4834
La 0.7997 0.7997 0.5166
Sm 0.0000 0.0000 0.0000
Sm 0.0835 0.5130 0.8218
Sm 0.4171 0.4171 0.1772
Sm 0.4870 0.9165 0.1782
Sm 0.5130 0.0835 0.8218
Sm 0.5829 0.5829 0.8228
Sm 0.9165 0.4870 0.1782
Sc 0.2891 0.7109 0.5000
Sc 0.7109 0.2891 0.5000

=====

# 6
The following is a DFT calculation (PBE-GGA) of a relaxed NaLaVBr2 crystal.

Output
Space group = P4/mmm, No. 123
Calculated volume = 151.7 Å³ per cell
Raw formation energy = 2 meV per atom

a b c (Å): 5.1735 5.1735 5.6692
angles (deg): 90.00 90.00 90.00
Atoms (fractional coordinates):
Na 0.0000 0.0000 0.0000
La 0.5000 0.5000 0.5000
V 0.0000 0.0000 0.5000
Br 0.0000 0.5000 0.0000
Br 0.5000 0.0000 0.0000

=====

# 7
The following is a DFT calculation (PBE-GGA) of a relaxed CsScCrSe3 crystal.

Output
Space group = P2_1/m, No. 11
Calculated volume = 347.9 Å³ per cell
Raw formation energy = -1158 meV per atom

a b c (Å): 4.0495 10.5486 8.3913
angles (deg): 90.00 103.95 90.00
Atoms (fractional coordinates):
Cs 0.2457 0.2500 0.4898
Cs 0.7543 0.7500 0.5102
Sc 0.5000 0.0000 0.0000
Sc 0.5000 0.5000 0.0000
Cr 0.0305 0.7500 0.0621
Cr 0.9695 0.2500 0.9379
Se 0.1106 0.5517 0.2217
Se 0.1106 0.9483 0.2217
Se 0.4421 0.7500 0.8850
Se 0.5579 0.2500 0.1150
Se 0.8894 0.0517 0.7783
Se 0.8894 0.4483 0.7783

=====

# 8
The following is a DFT calculation (PBE-GGA) of a relaxed La5CeSn3 crystal.

Output
Calculated formation energy = -13.57 kcal/mol of atoms
Polymorph energy (0 for the lowest one) = 0.000 eV/atom
Space group = P6_3/mcm, No. 193
Calculated volume = 572.5 Å³ per cell

a b c (Å): 9.8205 9.8205 6.8545
angles (deg): 90.00 90.00 120.00
Atoms (fractional coordinates):
La 0.0000 0.3293 0.2500
La 0.0000 0.6707 0.7500
La 0.3293 0.0000 0.2500
La 0.3293 0.3293 0.7500
La 0.3333 0.6667 0.0000
La 0.3333 0.6667 0.5000
La 0.6667 0.3333 0.0000
La 0.6667 0.3333 0.5000
La 0.6707 0.0000 0.7500
La 0.6707 0.6707 0.2500
Ce 0.0000 0.0000 0.0000
Ce 0.0000 0.0000 0.5000
Sn 0.0000 0.3345 0.7500
Sn 0.0000 0.6655 0.2500
Sn 0.3345 0.0000 0.7500
Sn 0.3345 0.3345 0.2500
Sn 0.6655 0.0000 0.2500
Sn 0.6655 0.6655 0.7500

=====

# 9
The following is a DFT calculation (PBE-GGA) of a relaxed YPdI2N crystal.

Output
Polymorph energy (0 for the lowest one) = 0.025 eV/atom
Space group = P4/mmm, No. 123
Calculated volume = 130.7 Å³ per cell
Raw formation energy = 224 meV per atom

a b c (Å): 5.8921 5.8921 3.7634
angles (deg): 90.00 90.00 90.00
Atoms (fractional coordinates):
Y 0.0000 0.0000 0.0000
Pd 0.5000 0.5000 0.5000
I 0.0000 0.5000 0.5000
I 0.5000 0.0000 0.5000
N 0.5000 0.5000 0.0000

=====

# 10
The following is a DFT calculation (PBE-GGA) of a relaxed LaPmNd2Ho5 crystal.

Output
Calculated formation energy = 5.68 kcal/mol of atoms
Space group = I4/mcm, No. 140
Calculated volume = 598.7 Å³ per cell

a b c (Å): 9.9753 9.9753 9.9753
angles (deg): 128.00 128.00 76.62
Atoms (fractional coordinates):
La 0.2500 0.2500 0.0000
La 0.7500 0.7500 0.0000
Pm 0.2500 0.7500 0.5000
Pm 0.7500 0.2500 0.5000
Nd 0.1177 0.6177 0.7353
Nd 0.3823 0.1177 0.5000
Nd 0.6177 0.8823 0.5000
Nd 0.8823 0.3823 0.2647
Ho 0.0000 0.0000 0.0000
Ho 0.0723 0.1552 0.5000
Ho 0.1552 0.6552 0.0829
Ho 0.3448 0.4277 0.5000
Ho 0.4277 0.9277 0.0829
Ho 0.5000 0.5000 0.0000
Ho 0.5723 0.0723 0.9171
Ho 0.6552 0.5723 0.5000
Ho 0.8448 0.3448 0.9171
Ho 0.9277 0.8448 0.5000

=====

# 11
The following is a DFT calculation (PBE-GGA) of a relaxed Fe3PbI9 crystal.

Output
Space group = Cc, No. 9
Calculated volume = 1196.2 Å³ per cell
Raw formation energy = -217 meV per atom

a b c (Å): 11.5019 11.5019 14.7891
angles (deg): 125.35 125.35 53.34
Atoms (fractional coordinates):
Fe 0.0806 0.9194 0.5000
Fe 0.2869 0.4605 0.5389
Fe 0.4605 0.2869 0.0389
Fe 0.6775 0.9014 0.1604
Fe 0.9014 0.6775 0.6604
Fe 0.9194 0.0806 0.0000
Pb 0.4138 0.8664 0.3267
Pb 0.8664 0.4138 0.8267
I 0.0374 0.0588 0.2016
I 0.0588 0.0374 0.7016
I 0.0748 0.8139 0.8675
I 0.0951 0.4230 0.5545
I 0.1194 0.6284 0.4025
I 0.1930 0.4195 0.9021
I 0.3060 0.9475 0.5268
I 0.4195 0.1930 0.4021
I 0.4230 0.0951 0.0545
I 0.4792 0.5489 0.7470
I 0.5489 0.4792 0.2470
I 0.5925 0.7366 0.1575
I 0.6284 0.1194 0.9025
I 0.7306 0.8669 0.5488
I 0.7366 0.5925 0.6575
I 0.8139 0.0748 0.3675
I 0.8669 0.7306 0.0488
I 0.9475 0.3060 0.0268

=====

# 12
The following is a DFT calculation (PBE-GGA) of a relaxed Hf3TiNi crystal.

Output
Calculated formation energy = 26.66 kcal/mol of atoms
Polymorph energy (0 for the lowest one) = 0.767 eV/atom
Space group = Pm-3m, No. 221
Calculated volume = 113.1 Å³ per cell

a b c (Å): 4.8359 4.8359 4.8359
angles (deg): 90.00 90.00 90.00
Atoms (fractional coordinates):
Hf 0.0000 0.0000 0.5000
Hf 0.0000 0.5000 0.0000
Hf 0.5000 0.0000 0.0000
Ti 0.0000 0.0000 0.0000
Ni 0.5000 0.5000 0.5000

=====

no.,total magnetic moment (μB per formula unit),DOS(E_F) (states/eV per cell)
1,0.0,2.32
2,0.0,5.46
3,0.0,7.65
4,0.0,3.00
5,0.0,17.36
6,5.0,3.67
7,4.0,7.56
8,4.4,26.65
9,0.0,3.71
10,0.0,19.05
11,13.0,23.18
12,0.0,8.01